1.
A geometry-optimized MgPbAu2 structure. Source: the Alexandria database, functional PBE-GGA.

The value obtained for the size of the total moment is 0.000 μB per atom. For the energy of formation from the pure elements, the calculation gives -0.23 eV per atom. The total DFT energy (no corrections) is -25.53 eV for the cell shown. The calculation puts the density of states at the Fermi level at 0.334 states/eV per atom.

The space group is Cm (No. 8) and the conventional cell measures 9.549, 3.693 and 5.078 Å, with angles of 90.00, 103.49 and 90.00 degrees. The asymmetric unit holds Mg at (0.000, 0.000, 0.000), Pb at (0.228, 0.000, 0.655), Au at (0.231, 0.500, 0.146) and Au at (0.478, 0.000, 0.405).

2.
A geometry-optimized Sm2TiGe3Ir4 structure. Source: the Alexandria database, functional PBE-GGA.

The value obtained for the size of the total moment is 0.000 μB per atom. For the energy of formation from the pure elements, the calculation gives -0.82 eV per atom. The total DFT energy (no corrections) is -74.84 eV for the cell shown. The calculation puts the density of states at the Fermi level at 0.560 states/eV per atom.

The space group is P-4m2 (No. 115) and the conventional cell measures 4.151, 4.151 and 10.757 Å, with angles of 90.00, 90.00 and 90.00 degrees. The asymmetric unit holds Sm at (0.000, 0.500, 0.241), Ti at (0.000, 0.000, 0.500), Ge at (0.000, 0.500, 0.871), Ge at (0.500, 0.500, 0.500), Ir at (0.000, 0.000, 0.000), Ir at (0.000, 0.500, 0.640) and Ir at (0.500, 0.500, 0.000).

3.
A geometry-optimized Tm3IrPt2 structure. Source: the Alexandria database, functional PBE-GGA.

The value obtained for the size of the total moment is 0.000 μB per atom. For the energy of formation from the pure elements, the calculation gives -1.17 eV per atom. The total DFT energy (no corrections) is -165.52 eV for the cell shown. The calculation puts the density of states at the Fermi level at 0.326 states/eV per atom.

The space group is Cmmm (No. 65) and the conventional cell measures 4.858, 14.570 and 6.808 Å, with angles of 90.00, 90.00 and 90.00 degrees. The asymmetric unit holds Tm at (0.000, 0.000, 0.247), Tm at (0.000, 0.332, 0.246), Ir at (0.000, 0.167, 0.000), Pt at (0.000, 0.166, 0.500), Pt at (0.000, 0.500, 0.000) and Pt at (0.000, 0.500, 0.500).

4.
A geometry-optimized LiZnCr structure. Source: the Alexandria database, functional PBE-GGA.

The value obtained for the size of the total moment is 0.000 μB per atom. The polymorph energy (0 for the lowest one) comes out at 0.6 kJ/mol of atoms. For the energy of formation from the pure elements, the calculation gives 0.08 eV per atom. The total DFT energy (no corrections) is -25.14 eV for the cell shown. The calculation puts the density of states at the Fermi level at 0.610 states/eV per atom.

The space group is P2_1/m (No. 11) and the conventional cell measures 2.534, 3.866 and 8.280 Å, with angles of 90.00, 97.72 and 90.00 degrees. The asymmetric unit holds Li at (0.233, 0.250, 0.403), Zn at (0.301, 0.250, 0.761) and Cr at (0.160, 0.250, 0.066).

5.
A geometry-optimized Ac8Pt3Rh2 structure. Source: the Alexandria database, functional PBE-GGA.

The value obtained for the size of the total moment is 0.000 μB per atom. For the energy of formation from the pure elements, the calculation gives -0.82 eV per atom. The total DFT energy (no corrections) is -152.58 eV for the cell shown. The calculation puts the density of states at the Fermi level at 0.744 states/eV per atom.

The space group is C2/m (No. 12) and the conventional cell measures 15.250, 8.826 and 7.446 Å, with angles of 90.00, 109.86 and 90.00 degrees. The asymmetric unit holds Ac at (0.121, 0.000, 0.241), Ac at (0.126, 0.500, 0.222), Ac at (0.129, 0.239, 0.766), Pt at (0.000, 0.000, 0.500), Pt at (0.000, 0.252, 0.000) and Rh at (0.247, 0.500, 0.988).

6.
A geometry-optimized CoTc3B structure. Source: the Alexandria database, functional PBE-GGA.

The value obtained for the size of the total moment is 0.279 μB per atom. The polymorph energy (0 for the lowest one) comes out at 171.0 kJ/mol of atoms. For the energy of formation from the pure elements, the calculation gives 2.11 eV per atom. The total DFT energy (no corrections) is -34.32 eV for the cell shown. The calculation puts the density of states at the Fermi level at 1.311 states/eV per atom.

The space group is Pm-3m (No. 221) and the conventional cell measures 4.350, 4.350 and 4.350 Å, with angles of 90.00, 90.00 and 90.00 degrees. The asymmetric unit holds Co at (0.000, 0.000, 0.000), Tc at (0.000, 0.000, 0.500) and B at (0.500, 0.500, 0.500).

7.
A geometry-optimized HgTe2P structure. Source: the Alexandria database, functional PBE-GGA.

For the formation energy (no corrections), the calculation gives 0.611 eV per formula unit. The value obtained for the size of the total moment is 0.000 μB per atom. The polymorph energy (0 for the lowest one) comes out at 2.6 kJ/mol of atoms. The total DFT energy (no corrections) is -11.38 eV for the cell shown. The calculation puts the density of states at the Fermi level at 0.394 states/eV per atom.

The space group is Pm (No. 6) and the conventional cell measures 5.296, 4.120 and 5.443 Å, with angles of 90.00, 106.01 and 90.00 degrees. The asymmetric unit holds Hg at (0.000, 0.000, 0.000), Te at (0.326, 0.500, 0.770), Te at (0.552, 0.000, 0.439) and P at (0.705, 0.500, 0.168).

8.
A geometry-optimized AlGaNi structure. Source: the Alexandria database, functional PBE-GGA.

The value obtained for the size of the total moment is 0.000 μB per atom. For the energy of formation from the pure elements, the calculation gives -0.18 eV per atom. The total DFT energy (no corrections) is -13.09 eV for the cell shown. The calculation puts the density of states at the Fermi level at 0.504 states/eV per atom.

The space group is P-6m2 (No. 187) and the conventional cell measures 4.1159, 4.1159 and 2.8572 Å, with angles of 90.00, 90.00 and 120.00 degrees. The asymmetric unit holds Al at (0.0000, 0.0000, 0.0000), Ga at (0.3333, 0.6667, 0.5000) and Ni at (0.6667, 0.3333, 0.5000).

9.
A geometry-optimized PrNd12Cd6 structure. Source: the Alexandria database, functional PBE-GGA.

The value obtained for the size of the total moment is 0.000 μB per atom. For the energy of formation from the pure elements, the calculation gives -0.10 eV per atom. The total DFT energy (no corrections) is -208.13 eV for the cell shown. The calculation puts the density of states at the Fermi level at 1.297 states/eV per atom.

The space group is R-3 (No. 148, hexagonal axes) and the conventional cell measures 11.6436, 11.6436 and 14.9826 Å, with angles of 90.00, 90.00 and 120.00 degrees. The asymmetric unit holds Pr at (0.0000, 0.0000, 0.0000), Nd at (0.0413, 0.1910, 0.8044), Nd at (0.0573, 0.8391, 0.4106) and Cd at (0.0311, 0.4402, 0.7061).

10.
A geometry-optimized Ba2HgAsRh structure. Source: the Alexandria database, functional PBE-GGA.

The value obtained for the size of the total moment is 0.000 μB per atom. For the energy of formation from the pure elements, the calculation gives -0.54 eV per atom. The total DFT energy (no corrections) is -18.84 eV for the cell shown. The calculation puts the density of states at the Fermi level at 0.846 states/eV per atom.

The space group is P4/mmm (No. 123) and the conventional cell measures 6.114, 6.114 and 4.701 Å, with angles of 90.00, 90.00 and 90.00 degrees. The asymmetric unit holds Ba at (0.000, 0.500, 0.000), Hg at (0.000, 0.000, 0.500), As at (0.500, 0.500, 0.500) and Rh at (0.500, 0.500, 0.000).

11.
A geometry-optimized LaTh4Pd4 structure. Source: the Alexandria database, functional PBE-GGA.

The value obtained for the size of the total moment is 0.000 μB per atom. For the energy of formation from the pure elements, the calculation gives -0.52 eV per atom. The total DFT energy (no corrections) is -120.09 eV for the cell shown. The calculation puts the density of states at the Fermi level at 1.170 states/eV per atom.

The space group is P4_2/n (No. 86, origin choice 2) and the conventional cell measures 9.127, 9.127 and 6.027 Å, with angles of 90.00, 90.00 and 90.00 degrees. The asymmetric unit holds La at (0.250, 0.250, 0.250), Th at (0.057, 0.663, 0.156) and Pd at (0.039, 0.631, 0.646).

12.
A geometry-optimized UTl2AsSe4 structure. Source: the Alexandria database, functional PBE-GGA.

For the formation energy (no corrections), the calculation gives -3.986 eV per formula unit. The value obtained for the size of the total moment is 0.331 μB per atom. The total DFT energy (no corrections) is -154.38 eV for the cell shown. The calculation puts the density of states at the Fermi level at 1.057 states/eV per atom.

The space group is Imma (No. 74) and the conventional cell measures 8.492, 8.834 and 12.154 Å, with angles of 90.00, 90.00 and 90.00 degrees. The asymmetric unit holds U at (0.250, 0.250, 0.250), Tl at (0.000, 0.000, 0.000), Tl at (0.250, 0.250, 0.750), As at (0.000, 0.000, 0.500), Se at (0.000, 0.028, 0.269) and Se at (0.212, 0.250, 0.486).